[1]
Crystalline MgMnTl2 at its relaxed geometry. Source: the Alexandria database, functional PBE.

a b c (Å): 3.5339 3.5339 7.2259
angles (deg): 90.00 90.00 90.00
Last column: nearest neighbours and their distance in Å.
Element x y z (fractional)
Mg 0.0000 0.0000 0.0000  8 Tl 3.14
Mn 0.0000 0.0000 0.5000  8 Tl 3.03
Tl 0.5000 0.5000 0.2635  4 Mn 3.03, 4 Mg 3.14
Tl 0.5000 0.5000 0.7365  4 Mn 3.03, 4 Mg 3.14

**Calculated density**: 9.0 g/cm³
**Symmetry**: P4/mmm
**Crystal system**: tetragonal
**Energy of formation from the pure elements**: 0.260 eV per atom
**VASP energy**: -3.61 eV/atom

---

[2]
Crystalline MgMn4Tl at its relaxed geometry. Source: the Alexandria database, functional PBE.

a b c (Å): 4.9557 4.9557 4.9557
angles (deg): 60.00 60.00 60.00
Last column: nearest neighbours and their distance in Å.
Element x y z (fractional)
Mg 0.0000 0.0000 0.0000  12 Mn 2.90, 4 Tl 3.03
Mn 0.1212 0.6263 0.6263  6 Mn 2.45-2.50
Mn 0.6263 0.1212 0.6263  6 Mn 2.45-2.50
Mn 0.6263 0.6263 0.1212  6 Mn 2.45-2.50
Mn 0.6263 0.6263 0.6263  6 Mn 2.45-2.50
Tl 0.2500 0.2500 0.2500  12 Mn 2.91, 4 Mg 3.03

**Calculated density**: 8.7 g/cm³
**Symmetry**: F-43m
**Crystal system**: cubic
**Energy of formation from the pure elements**: 0.424 eV per atom
**VASP energy**: -6.35 eV/atom

---

[3]
Crystalline MgMnTl2 at its relaxed geometry. Source: the Alexandria database, functional PBE.

a b c (Å): 4.9531 4.9531 5.9619
angles (deg): 100.71 100.71 40.06
Last column: nearest neighbours and their distance in Å.
Element x y z (fractional)
Mg 0.0000 0.0000 0.0000  6 Tl 3.02-3.07
Mn 0.5000 0.5000 0.5000  6 Tl 2.98
Tl 0.2469 0.2469 0.7380  3 Mn 2.98, 3 Mg 3.02-3.07, 2 Tl 3.32
Tl 0.7531 0.7531 0.2620  3 Mn 2.98, 3 Mg 3.02-3.07, 2 Tl 3.32

**Calculated density**: 8.8 g/cm³
**Symmetry**: C2/m
**Crystal system**: monoclinic
**Energy of formation from the pure elements**: 0.265 eV per atom
**VASP energy**: -3.61 eV/atom

---

[4]
Crystalline MgMnTl4 at its relaxed geometry. Source: the Alexandria database, functional PBE.

a b c (Å): 6.3131 6.3131 6.3131
angles (deg): 60.00 60.00 60.00
Last column: nearest neighbours and their distance in Å.
Element x y z (fractional)
Mg 0.0000 0.0000 0.0000  12 Tl 3.70, 4 Mn 3.87
Mn 0.7500 0.7500 0.7500  12 Tl 3.70, 4 Mg 3.87
Tl 0.3752 0.3752 0.3752  6 Tl 3.15-3.16
Tl 0.3752 0.3752 0.8744  6 Tl 3.15-3.16
Tl 0.3752 0.8744 0.3752  6 Tl 3.15-3.16
Tl 0.8744 0.3752 0.3752  6 Tl 3.15-3.16

**Calculated density**: 8.4 g/cm³
**Symmetry**: F-43m
**Crystal system**: cubic
**Energy of formation from the pure elements**: 0.510 eV per atom
**VASP energy**: -2.86 eV/atom

---

[5]
Crystalline MgMnTl2 at its relaxed geometry. Source: the Alexandria database, functional PBE.

a b c (Å): 5.1485 5.1485 5.1485
angles (deg): 60.00 60.00 60.00
Last column: nearest neighbours and their distance in Å.
Element x y z (fractional)
Mg 0.0000 0.0000 0.0000  4 Tl 3.15, 4 Mn 3.15
Mn 0.2500 0.2500 0.2500  4 Tl 3.15, 4 Mg 3.15
Tl 0.5000 0.5000 0.5000  4 Tl 3.15, 4 Mn 3.15
Tl 0.7500 0.7500 0.7500  4 Tl 3.15, 4 Mg 3.15

**Calculated density**: 8.4 g/cm³
**Symmetry**: F-43m
**Crystal system**: cubic
**Energy of formation from the pure elements**: 0.399 eV per atom
**VASP energy**: -3.48 eV/atom

---

[6]
Crystalline Mg4MnTl at its relaxed geometry. Source: the Alexandria database, functional PBE.

a b c (Å): 5.8010 5.8010 5.8010
angles (deg): 60.00 60.00 60.00
Last column: nearest neighbours and their distance in Å.
Element x y z (fractional)
Mg 0.1243 0.1243 0.1243  6 Mg 2.88-2.92
Mg 0.1243 0.1243 0.6270  6 Mg 2.88-2.92
Mg 0.1243 0.6270 0.1243  6 Mg 2.88-2.92
Mg 0.6270 0.1243 0.1243  6 Mg 2.88-2.92
Mn 0.7500 0.7500 0.7500  12 Mg 3.40, 4 Tl 3.55
Tl 0.5000 0.5000 0.5000  12 Mg 3.40, 4 Mn 3.55

**Calculated density**: 4.3 g/cm³
**Symmetry**: F-43m
**Crystal system**: cubic
**Energy of formation from the pure elements**: 0.293 eV per atom
**VASP energy**: -2.69 eV/atom

---

[7]
Crystalline MgMnTl2 at its relaxed geometry. Source: the Alexandria database, functional PBE.

a b c (Å): 10.2925 10.2925 10.2925
angles (deg): 154.38 154.38 36.55
Last column: nearest neighbours and their distance in Å.
Element x y z (fractional)
Mg 0.0000 0.0000 0.0000  4 Tl 2.95, 4 Mn 3.23
Mg 0.7500 0.2500 0.5000  4 Tl 2.95, 4 Mn 3.23
Mn 0.2500 0.7500 0.5000  4 Tl 2.91, 4 Mg 3.23
Mn 0.5000 0.5000 0.0000  4 Tl 2.91, 4 Mg 3.23
Tl 0.1346 0.6250 0.0096  2 Mn 2.91, 2 Mg 2.95, 2 Tl 3.17
Tl 0.3750 0.3846 0.5096  2 Mn 2.91, 2 Mg 2.95, 2 Tl 3.17
Tl 0.6154 0.1250 0.9904  2 Mn 2.91, 2 Mg 2.95, 2 Tl 3.17
Tl 0.8750 0.8654 0.4904  2 Mn 2.91, 2 Mg 2.95, 2 Tl 3.17

**Calculated density**: 8.0 g/cm³
**Symmetry**: I-42d
**Crystal system**: tetragonal
**Energy of formation from the pure elements**: 0.423 eV per atom
**VASP energy**: -3.45 eV/atom

---

[8]
Crystalline MgMnTl2 at its relaxed geometry. Source: the Alexandria database, functional PBE.

a b c (Å): 3.3423 3.3423 8.3778
angles (deg): 90.00 90.00 90.00
Last column: nearest neighbours and their distance in Å.
Element x y z (fractional)
Mg 0.0000 0.0000 0.0000  4 Mn 2.85
Mn 0.5000 0.5000 0.1905  4 Mg 2.85, 4 Tl 3.00
Tl 0.0000 0.0000 0.4104  4 Mn 3.00, 4 Tl 3.34
Tl 0.5000 0.5000 0.7256  4 Mg 3.30, 8 Tl 3.34-3.54

**Calculated density**: 8.7 g/cm³
**Symmetry**: P4mm
**Crystal system**: tetragonal
**Energy of formation from the pure elements**: 0.257 eV per atom
**VASP energy**: -3.62 eV/atom

---

[9]
Crystalline MgMnTl3 at its relaxed geometry. Source: the Alexandria database, functional PBE.

a b c (Å): 5.2396 5.2396 5.2396
angles (deg): 90.00 90.00 90.00
Last column: nearest neighbours and their distance in Å.
Element x y z (fractional)
Mg 0.0000 0.0000 0.0000  12 Tl 3.70
Mn 0.5000 0.5000 0.5000  6 Tl 2.62
Tl 0.0000 0.5000 0.5000  2 Mn 2.62
Tl 0.5000 0.0000 0.5000  2 Mn 2.62
Tl 0.5000 0.5000 0.0000  2 Mn 2.62

**Calculated density**: 8.0 g/cm³
**Symmetry**: Pm-3m
**Crystal system**: cubic
**Energy of formation from the pure elements**: 0.394 eV per atom
**VASP energy**: -3.18 eV/atom

---

[10]
Crystalline MgMnTl2 at its relaxed geometry. Source: the Alexandria database, functional PBE.

a b c (Å): 3.3273 4.2382 6.5500
angles (deg): 90.00 90.00 90.00
Last column: nearest neighbours and their distance in Å.
Element x y z (fractional)
Mg 0.0000 0.0000 0.0000  5 Tl 2.93-3.14, 4 Mn 3.06
Mn 0.5000 0.5000 0.2213  5 Tl 3.06-3.07, 4 Mg 3.06, 2 Mn 3.33
Tl 0.0000 0.0000 0.4473  1 Mg 2.93, 4 Mn 3.07
Tl 0.5000 0.5000 0.7543  1 Mn 3.06, 4 Mg 3.14, 6 Tl 3.33-3.36

**Calculated density**: 8.8 g/cm³
**Symmetry**: Pmm2
**Crystal system**: orthorhombic
**Energy of formation from the pure elements**: 0.292 eV per atom
**VASP energy**: -3.58 eV/atom

---

[11]
Crystalline MgMnTl2 at its relaxed geometry. Source: the Alexandria database, functional PBE.

a b c (Å): 6.4112 6.4112 4.8155
angles (deg): 111.59 111.59 30.41
Last column: nearest neighbours and their distance in Å.
Element x y z (fractional)
Mg 0.0000 0.0000 0.0000  2 Mn 2.92, 4 Tl 3.05-3.06
Mn 0.7084 0.7084 0.2155  2 Mg 2.92, 6 Tl 2.93-3.02
Tl 0.2071 0.2071 0.7132  4 Mn 2.93-2.94
Tl 0.4272 0.4272 0.4269  2 Mn 3.02, 4 Mg 3.05-3.06, 2 Tl 3.36

**Calculated density**: 8.7 g/cm³
**Symmetry**: Cm
**Crystal system**: monoclinic
**Energy of formation from the pure elements**: 0.261 eV per atom
**VASP energy**: -3.61 eV/atom

---

[12]
Crystalline MgMnTl2 at its relaxed geometry. Source: the Alexandria database, functional PBE.

a b c (Å): 5.6785 5.6785 5.6785
angles (deg): 141.38 124.14 69.97
Last column: nearest neighbours and their distance in Å.
Element x y z (fractional)
Mg 0.0000 0.0000 0.0000  8 Tl 3.10-3.44, 4 Mn 3.26
Mn 0.5000 0.5000 0.0000  4 Tl 2.88
Tl 0.2651 0.7651 0.5000  2 Mn 2.88, 2 Mg 3.10
Tl 0.7349 0.2349 0.5000  2 Mn 2.88, 2 Mg 3.10

**Calculated density**: 8.7 g/cm³
**Symmetry**: Immm
**Crystal system**: orthorhombic
**Energy of formation from the pure elements**: 0.309 eV per atom
**VASP energy**: -3.57 eV/atom